1.
{"formula": "YHfCuB", "functional": "GGA-PBE", "state": "optimized geometry", "polymorph_energy_mev_per_atom": 0.0, "spacegroup": "F-43m", "magmom_total_mub_per_atom": 0.44, "lattice_angstrom": [[0.0000, 3.2224, 3.2224], [3.2224, 0.0000, 3.2224], [3.2224, 3.2224, 0.0000]], "species": ["Y", "Hf", "Cu", "B"], "fractional_positions": [[0.0000, 0.0000, 0.0000], [0.2500, 0.2500, 0.2500], [0.7500, 0.7500, 0.7500], [0.5000, 0.5000, 0.5000]]}


2.
{"formula": "SnAu15", "functional": "GGA-PBE", "state": "optimized geometry", "polymorph_energy_mev_per_atom": 12.8, "spacegroup": "P2_1/m", "lattice_angstrom": [[5.8333, 0.0000, 0.0000], [0.0000, 2.9340, 0.0000], [-0.0203, 0.0000, 45.9892]], "species": ["Sn", "Sn", "Au", "Au", "Au", "Au", "Au", "Au", "Au", "Au", "Au", "Au", "Au", "Au", "Au", "Au", "Au", "Au", "Au", "Au", "Au", "Au", "Au", "Au", "Au", "Au", "Au", "Au", "Au", "Au", "Au", "Au"], "fractional_positions": [[0.1249, 0.2500, 0.3465], [0.8751, 0.7500, 0.6535], [0.1191, 0.2500, 0.7051], [0.1248, 0.2500, 0.0677], [0.1247, 0.2500, 0.1578], [0.1247, 0.2500, 0.2485], [0.1255, 0.2500, 0.7969], [0.1253, 0.2500, 0.8873], [0.1250, 0.2500, 0.9774], [0.3687, 0.7500, 0.2948], [0.3749, 0.7500, 0.0225], [0.3749, 0.7500, 0.1126], [0.3754, 0.7500, 0.2031], [0.3751, 0.7500, 0.7510], [0.3753, 0.7500, 0.8422], [0.3752, 0.7500, 0.9324], [0.3756, 0.7500, 0.6603], [0.6244, 0.2500, 0.3397], [0.6248, 0.2500, 0.0676], [0.6247, 0.2500, 0.1578], [0.6249, 0.2500, 0.2490], [0.6246, 0.2500, 0.7969], [0.6251, 0.2500, 0.8874], [0.6251, 0.2500, 0.9775], [0.6313, 0.2500, 0.7052], [0.8750, 0.7500, 0.0226], [0.8747, 0.7500, 0.1127], [0.8745, 0.7500, 0.2031], [0.8753, 0.7500, 0.7515], [0.8753, 0.7500, 0.8422], [0.8752, 0.7500, 0.9323], [0.8809, 0.7500, 0.2949]]}


3.
{"formula": "Ho3Ni4Ge", "functional": "GGA-PBE", "state": "optimized geometry", "e_tot_ev_per_atom": -5.517, "spacegroup": "Pm", "magmom_total_mub_per_atom": 0.00, "lattice_angstrom": [[5.1825, 0.0000, 0.0000], [0.0000, 4.1174, 0.0000], [-0.4046, 0.0000, 6.5748]], "species": ["Ho", "Ho", "Ho", "Ni", "Ni", "Ni", "Ni", "Ge"], "fractional_positions": [[0.0000, 0.0000, 0.0000], [0.2192, 0.0000, 0.4908], [0.5038, 0.5000, 0.8620], [0.2511, 0.5000, 0.2188], [0.5406, 0.0000, 0.1824], [0.7306, 0.0000, 0.5858], [0.9842, 0.5000, 0.6921], [0.7473, 0.5000, 0.3396]]}


4.
{"formula": "Nb2AsIr", "functional": "GGA-PBE", "state": "optimized geometry", "e_tot_ev_per_atom": -8.404, "spacegroup": "F-43m", "magmom_total_mub_per_atom": 0.00, "lattice_angstrom": [[0.0000, 3.2082, 3.2082], [3.2082, 0.0000, 3.2082], [3.2082, 3.2082, 0.0000]], "species": ["Nb", "Nb", "As", "Ir"], "fractional_positions": [[0.0000, 0.0000, 0.0000], [0.2500, 0.2500, 0.2500], [0.5000, 0.5000, 0.5000], [0.7500, 0.7500, 0.7500]]}


5.
{"formula": "Re2Sb", "functional": "GGA-PBE", "state": "optimized geometry", "polymorph_energy_mev_per_atom": 567.8, "spacegroup": "Fm-3m", "magmom_total_mub_per_atom": 0.02, "lattice_angstrom": [[0.0000, 3.0752, 3.0752], [3.0752, 0.0000, 3.0752], [3.0752, 3.0752, 0.0000]], "species": ["Re", "Re", "Sb"], "fractional_positions": [[0.2500, 0.2500, 0.2500], [0.7500, 0.7500, 0.7500], [0.0000, 0.0000, 0.0000]]}


6.
{"formula": "LiTmNi", "functional": "GGA-PBE", "state": "optimized geometry", "polymorph_energy_mev_per_atom": 435.3, "spacegroup": "F-43m", "magmom_total_mub_per_atom": 0.00, "lattice_angstrom": [[0.0000, 3.1244, 3.1244], [3.1244, 0.0000, 3.1244], [3.1244, 3.1244, 0.0000]], "species": ["Li", "Tm", "Ni"], "fractional_positions": [[0.0000, 0.0000, 0.0000], [0.2500, 0.2500, 0.2500], [0.5000, 0.5000, 0.5000]]}


7.
{"formula": "NaMgCo", "functional": "GGA-PBE", "state": "optimized geometry", "e_tot_ev_per_atom": -2.195, "spacegroup": "F-43m", "magmom_total_mub_per_atom": 0.50, "lattice_angstrom": [[0.0000, 3.2228, 3.2228], [3.2228, 0.0000, 3.2228], [3.2228, 3.2228, 0.0000]], "species": ["Na", "Mg", "Co"], "fractional_positions": [[0.0000, 0.0000, 0.0000], [0.2500, 0.2500, 0.2500], [0.7500, 0.7500, 0.7500]]}


8.
{"formula": "Tb2ErGe4Pd4", "functional": "GGA-PBE", "state": "optimized geometry", "e_tot_ev_per_atom": -5.716, "spacegroup": "Immm", "magmom_total_mub_per_atom": 0.00, "lattice_angstrom": [[-2.0997, 3.5473, 7.0130], [2.0997, -3.5473, 7.0130], [2.0997, 3.5473, -7.0130]], "species": ["Tb", "Tb", "Er", "Ge", "Ge", "Ge", "Ge", "Pd", "Pd", "Pd", "Pd"], "fractional_positions": [[0.1261, 0.1261, 0.0000], [0.8739, 0.8739, 0.0000], [0.5000, 0.0000, 0.5000], [0.1896, 0.5000, 0.6896], [0.2829, 0.7829, 0.5000], [0.7171, 0.2171, 0.5000], [0.8104, 0.5000, 0.3104], [0.1242, 0.3249, 0.7994], [0.4745, 0.6751, 0.7994], [0.5255, 0.3249, 0.2006], [0.8758, 0.6751, 0.2006]]}